The following is a PBE calculation of a relaxed structure of CaAc2ZnN, from the Alexandria database.

Cell lengths 5.368, 5.368, 4.820 Å; angles 90.00, 90.00, 90.00 degrees
Atoms (fractional coordinates):
Ac 0.000 0.500 0.000
Ac 0.500 0.000 0.000
Ca 0.000 0.000 0.500
N 0.000 0.000 0.000
Zn 0.500 0.500 0.501

Properties
The density of states at the Fermi level comes out at 0.713 states/eV/atom. Its calculated total energy is -0.1646 hartree per atom. As for the total magnetization: 0.00 μB/f.u. Its space group is P4/mmm. For the uncorrected formation energy, the calculation gives -0.51 eV per atom.

=====

The following is a PBE calculation of a relaxed structure of NaCaAc2, from the Alexandria database.

Cell lengths 3.904, 3.904, 13.149 Å; angles 81.46, 81.46, 60.00 degrees
Atoms (fractional coordinates):
Ac 0.249 0.249 0.252
Ac 0.084 0.084 0.748
Ca 0.500 0.500 0.500
Na 0.667 0.667 0.000

Properties
Its offset from the most stable computed form is 0 meV/atom. The density of states at the Fermi level comes out at 1.160 states/eV/atom. Its calculated total energy is -0.1026 hartree per atom. As for the total magnetization: 0.00 μB/f.u. Its space group is R3m. The value obtained for the energy of formation is 0.092 eV per atom.

=====

The following is a PBE calculation of a relaxed structure of Na2CaAc, from the Alexandria database.

Cell lengths 3.793, 3.793, 13.858 Å; angles 82.13, 82.13, 60.00 degrees
Atoms (fractional coordinates):
Na 0.911 0.911 0.266
Na 0.089 0.089 0.734
Ac 0.000 0.000 0.000
Ca 0.500 0.500 0.500

Properties
Its offset from the most stable computed form is 152 meV/atom. The density of states at the Fermi level comes out at 0.868 states/eV/atom. Its calculated total energy is -0.0727 hartree per atom. As for the total magnetization: 0.00 μB/f.u. Its space group is R-3m. The value obtained for the energy of formation is 0.208 eV per atom.

=====

The following is a PBE calculation of a relaxed structure of Na2CaAc, from the Alexandria database.

Cell lengths 4.273, 4.273, 8.701 Å; angles 90.00, 90.00, 90.00 degrees
Each line ends with the local moment (μB).
Atoms (fractional coordinates):
Na 0.000 0.000 0.265  0.00
Na 0.000 0.000 0.735  0.00
Ca 0.500 0.500 0.500  0.00
Ac 0.500 0.500 0.000  0.07

Properties
Its offset from the most stable computed form is 115 meV/atom. The density of states at the Fermi level comes out at 0.971 states/eV/atom. Its calculated total energy is -0.0741 hartree per atom. As for the total magnetization: 0.24 μB/f.u. Its space group is P4/mmm. The value obtained for the energy of formation is 0.171 eV per atom.

=====

The following is a PBE calculation of a relaxed structure of NaCa2Ac, from the Alexandria database.

Cell lengths 4.103, 6.398, 6.398 Å; angles 90.00, 90.00, 90.00 degrees
Atoms (fractional coordinates):
Ca 0.000 0.000 0.500
Ca 0.000 0.500 0.000
Na 0.500 0.000 0.000
Ac 0.500 0.500 0.500

Properties
Its offset from the most stable computed form is 66 meV/atom. The density of states at the Fermi level comes out at 0.931 states/eV/atom. Its calculated total energy is -0.0823 hartree per atom. As for the total magnetization: 0.00 μB/f.u. Its space group is P4/mmm. The value obtained for the energy of formation is 0.117 eV per atom.

=====

The following is a PBE calculation of a relaxed structure of NaCa2Ac, from the Alexandria database.

Cell lengths 3.863, 3.854, 13.613 Å; angles 90.00, 55.41, 90.00 degrees
Atoms (fractional coordinates):
Na 0.500 0.500 0.750
Ca 0.490 0.000 0.505
Ca 0.510 0.000 0.995
Ac 0.500 0.500 0.250

Properties
Its offset from the most stable computed form is 3 meV/atom. The density of states at the Fermi level comes out at 1.124 states/eV/atom. Its calculated total energy is -0.0846 hartree per atom. As for the total magnetization: 0.00 μB/f.u. Its space group is P4/mmm. The value obtained for the energy of formation is 0.055 eV per atom.

=====

The following is a PBE calculation of a relaxed structure of Na2CaAc, from the Alexandria database.

Cell lengths 6.093, 6.093, 6.093 Å; angles 60.00, 60.00, 60.00 degrees
Atoms (fractional coordinates):
Ac 0.000 0.000 0.000
Na 0.250 0.250 0.250
Na 0.750 0.750 0.750
Ca 0.500 0.500 0.500

Properties
Its offset from the most stable computed form is 145 meV/atom. The density of states at the Fermi level comes out at 1.092 states/eV/atom. Its calculated total energy is -0.0730 hartree per atom. As for the total magnetization: 0.00 μB/f.u. Its space group is Fm-3m. The value obtained for the energy of formation is 0.201 eV per atom.

=====

The following is a PBE calculation of a relaxed structure of NaCa2Ac, from the Alexandria database.

Cell lengths 4.279, 4.279, 9.014 Å; angles 90.00, 90.00, 90.00 degrees
Atoms (fractional coordinates):
Na 0.500 0.500 0.500
Ac 0.500 0.500 0.000
Ca 0.000 0.000 0.267
Ca 0.000 0.000 0.733

Properties
Its offset from the most stable computed form is 21 meV/atom. The density of states at the Fermi level comes out at 1.031 states/eV/atom. Its calculated total energy is -0.0840 hartree per atom. As for the total magnetization: 0.00 μB/f.u. Its space group is P4/mmm. The value obtained for the energy of formation is 0.073 eV per atom.

=====

The following is a PBE calculation of a relaxed structure of NaCaAc2, from the Alexandria database.

Cell lengths 3.855, 3.855, 14.040 Å; angles 82.11, 82.11, 60.00 degrees
Atoms (fractional coordinates):
Na 0.000 0.000 0.000
Ac 0.089 0.089 0.732
Ac 0.911 0.911 0.268
Ca 0.500 0.500 0.500

Properties
Its offset from the most stable computed form is 90 meV/atom. The density of states at the Fermi level comes out at 1.349 states/eV/atom. Its calculated total energy is -0.0993 hartree per atom. As for the total magnetization: 0.00 μB/f.u. Its space group is R-3m. The value obtained for the energy of formation is 0.182 eV per atom.

=====

The following is a PBE calculation of a relaxed structure of Na2CaAc, from the Alexandria database.

Cell lengths 3.875, 3.875, 12.906 Å; angles 81.37, 81.37, 60.00 degrees
Atoms (fractional coordinates):
Ca 0.252 0.252 0.245
Na 0.836 0.836 0.492
Na 0.421 0.421 0.737
Ac 0.002 0.002 0.993

Properties
Its offset from the most stable computed form is 0 meV/atom. The density of states at the Fermi level comes out at 0.757 states/eV/atom. Its calculated total energy is -0.0783 hartree per atom. As for the total magnetization: 0.00 μB/f.u. Its space group is R3m. The value obtained for the energy of formation is 0.056 eV per atom.

=====

The following is a PBE calculation of a relaxed structure of Na2CaAc, from the Alexandria database.

Cell lengths 3.997, 6.311, 6.311 Å; angles 90.00, 90.00, 90.00 degrees
Atoms (fractional coordinates):
Na 0.000 0.500 0.000
Na 0.000 0.000 0.500
Ac 0.500 0.500 0.500
Ca 0.500 0.000 0.000

Properties
Its offset from the most stable computed form is 128 meV/atom. The density of states at the Fermi level comes out at 1.174 states/eV/atom. Its calculated total energy is -0.0736 hartree per atom. As for the total magnetization: 0.00 μB/f.u. Its space group is P4/mmm. The value obtained for the energy of formation is 0.184 eV per atom.

=====

The following is a PBE calculation of a relaxed structure of NaCaAc2, from the Alexandria database.

Cell lengths 4.416, 4.416, 8.713 Å; angles 90.00, 90.00, 90.00 degrees
Atoms (fractional coordinates):
Na 0.500 0.500 0.000
Ac 0.000 0.000 0.252
Ac 0.000 0.000 0.748
Ca 0.500 0.500 0.500

Properties
Its offset from the most stable computed form is 52 meV/atom. The density of states at the Fermi level comes out at 1.333 states/eV/atom. Its calculated total energy is -0.1007 hartree per atom. As for the total magnetization: 0.00 μB/f.u. Its space group is P4/mmm. The value obtained for the energy of formation is 0.144 eV per atom.

=====

Which value of total magnetization does entry 4 give? 0.24 μB/f.u.